Entry 1:
DFT (GGA-PBE) results for a relaxed structure of LiAl2Tc.

Calculated values
crystal system = monoclinic
E_form = -0.128 eV per atom
relative energy among the computed polymorphs = 0.183 eV per atom

abc: 4.562 4.562 5.164
angles: 84.68 84.68 33.74
Fractional coordinates of all 4 atoms:
Al: 0.493 0.493 0.511
Al: 0.007 0.007 0.989
Li: 0.250 0.250 0.250
Tc: 0.750 0.750 0.750

---

Entry 2:
DFT (GGA-PBE) results for a relaxed structure of Sm2HPt6.

Calculated values
energy = -0.230 Ha/atom
crystal system = cubic

abc: 5.930 5.930 5.930
angles: 60.00 60.00 60.00
Fractional coordinates of all 9 atoms:
Pt: 0.748 0.252 0.252
Pt: 0.748 0.252 0.748
Pt: 0.252 0.748 0.252
Pt: 0.252 0.748 0.748
Pt: 0.748 0.748 0.252
Pt: 0.252 0.252 0.748
Sm: 0.750 0.750 0.750
Sm: 0.250 0.250 0.250
H: 0.000 0.000 0.000

---

Entry 3:
DFT (GGA-PBE) results for a relaxed structure of YAlRe.

Calculated values
crystal system = tetragonal
E_form = -0.038 eV per atom
relative energy among the computed polymorphs = 0.320 eV per atom

abc: 5.537 5.536 3.425
angles: 71.99 71.98 36.03
Fractional coordinates of all 3 atoms:
Y: 0.673 0.673 0.327
Al: 0.965 0.965 0.035
Re: 0.362 0.362 0.638

---

Entry 4:
DFT (GGA-PBE) results for a relaxed structure of MgPaHgPb.

Calculated values
crystal system = cubic
E_form = 0.049 eV per atom

abc: 5.225 5.225 5.225
angles: 60.00 60.00 60.00
Fractional coordinates of all 4 atoms:
Pa: 0.500 0.500 0.500
Hg: 0.250 0.250 0.250
Mg: 0.000 0.000 0.000
Pb: 0.750 0.750 0.750

---

Entry 5:
DFT (GGA-PBE) results for a relaxed structure of NaPb2F8.

Calculated values
formation energy from raw total energies = -2.08 eV/atom
crystal system = monoclinic
relative energy among the computed polymorphs = 0.018 eV per atom

abc: 3.932 6.785 6.785
angles: 65.04 105.27 105.27
Fractional coordinates of all 11 atoms:
Pb: 0.573 0.317 0.317
Pb: 0.427 0.683 0.683
F: 0.818 0.569 0.569
F: 0.392 0.923 0.343
F: 0.608 0.657 0.077
F: 0.032 0.792 0.792
F: 0.608 0.077 0.657
F: 0.182 0.431 0.431
F: 0.392 0.343 0.923
F: 0.968 0.208 0.208
Na: 0.000 0.000 0.000

---

Entry 6:
DFT (GGA-PBE) results for a relaxed structure of CoTc2Br.

Calculated values
formation energy from raw total energies = 0.80 eV/atom
crystal system = orthorhombic
relative energy among the computed polymorphs = 0.342 eV per atom

abc: 5.140 5.140 5.140
angles: 146.67 129.29 62.05
Fractional coordinates of all 4 atoms:
Tc: 0.736 0.236 0.500
Tc: 0.000 0.000 0.000
Co: 0.266 0.766 0.500
Br: 0.497 0.497 0.000

---

We obtain N(E_F) values of 0.51; 0.29; 1.42; 1.16; 0.09; 1.15 states/eV/atom for the records listed above, in that order.